First-principles (PBE-GGA) data for a relaxed structure of DyY2Cu, as listed in Alexandria via LeMat-Bulk.

```
DyY2Cu
1.0
1.8381 1.0612 9.6546
-1.8381 1.0612 9.6546
0.0000 -2.1225 9.6546
Dy Y Cu
1 2 1
Direct
0.0000 0.0000 0.0000
0.5663 0.5663 0.5663
0.7653 0.7653 0.7653
0.1653 0.1653 0.1653
```

**Magnetic moment**: 0.51 Bohr magnetons per cell
**V**: 28.250 Å³/atom
**Final energy**: -21.52 eV/f.u.
**Formation energy from the elements**: 28 meV/atom